! TbDy6Er2Tm3 PBE optimized geometry; values from VASP
&SYSTEM
  ibrav = 0, nat = 12, ntyp = 4
/
ATOMIC_SPECIES
Tb 158.93 Tb.upf
Dy 162.50 Dy.upf
Er 167.26 Er.upf
Tm 168.93 Tm.upf
ATOMIC_POSITIONS crystal
Tb 0.0000 0.0000 0.0000
Dy 0.0840 0.4175 0.2511
Dy 0.2496 0.2496 0.7490
Dy 0.4175 0.0840 0.2511
Dy 0.5825 0.9160 0.7489
Dy 0.7504 0.7504 0.2510
Dy 0.9160 0.5825 0.7489
Er 0.3333 0.6667 0.0000
Er 0.6667 0.3333 0.0000
Tm 0.1668 0.8332 0.5000
Tm 0.5000 0.5000 0.5000
Tm 0.8332 0.1668 0.5000
CELL_PARAMETERS angstrom
3.0469 -5.2710 0.0000
3.0469 5.2710 0.0000
-2.0215 0.0000 11.4659
! * calculated volume: 368 Å³/f.u.
! * uncorrected energy: -4.5452 eV/atom
! * energy of formation from the pure elements: 0.02 eV/atom
! * total magnetic moment: 0.00 μB per formula unit
! * symmetry: C2/m